Density functional theory data (PBEsol) for crystalline YSi2Os2 at its relaxed geometry.

Computed properties:
E_form (uncorrected) in kJ per mole of atoms: -73
Energy in eV per cell: -46.530
Crystal system: tetragonal
Symmetry: I4/mmm (139)

Cell: 5.633 5.633 5.633 Å, 137.09 137.09 62.30°
Fractional positions:
Y1 0.000 0.000 0.000
Si1 0.373 0.373 0.000
Si2 0.627 0.627 0.000
Os1 0.250 0.750 0.500
Os2 0.750 0.250 0.500


Density functional theory data (PBEsol) for crystalline Cr4Tc at its relaxed geometry.

Computed properties:
Energy in eV per cell: -52.064
Formation enthalpy at 0 K in eV/atom: 0.034
Crystal system: tetragonal
Symmetry: I4/m (87)

Cell: 4.754 4.754 4.754 Å, 95.19 95.19 145.01°
Fractional positions:
Cr1 0.103 0.693 0.796
Cr2 0.307 0.103 0.410
Cr3 0.693 0.897 0.590
Cr4 0.897 0.307 0.204
Tc1 0.500 0.500 0.000


Density functional theory data (PBEsol) for crystalline Be2POs at its relaxed geometry.

Computed properties:
Energy in eV per cell: -24.199
Formation enthalpy at 0 K in eV/atom: 0.452
Crystal system: orthorhombic
Symmetry: Cmm2 (35)

Cell: 2.679 2.679 7.498 Å, 90.00 90.00 117.56°
Fractional positions:
Be1 0.000 0.000 0.000
Be2 0.500 0.500 0.234
P1 0.500 0.500 0.747
Os1 0.000 0.000 0.489


Density functional theory data (PBEsol) for crystalline KMnCdCo2 at its relaxed geometry.

Computed properties:
Energy in eV per cell: -20.565
Formation enthalpy at 0 K in eV/atom: 1.400
Crystal system: tetragonal
Symmetry: P4/mmm (123)

Cell: 4.475 4.475 5.313 Å, 90.00 90.00 90.00°
Fractional positions:
K1 0.000 0.000 0.000
Mn1 0.000 0.000 0.500
Cd1 0.500 0.500 0.000
Co1 0.000 0.500 0.500
Co2 0.500 0.000 0.500


Density functional theory data (PBEsol) for crystalline Rb3H12N5 at its relaxed geometry.

Computed properties:
Energy in eV per cell: -186.622
Crystal system: cubic
Symmetry: I2_13 (199)

Cell: 8.489 8.489 8.489 Å, 109.47 109.47 109.47°
Fractional positions:
Rb1 0.076 0.826 0.250
Rb2 0.250 0.076 0.826
Rb3 0.424 0.674 0.750
Rb4 0.674 0.750 0.424
Rb5 0.750 0.424 0.674
Rb6 0.826 0.250 0.076
H1 0.038 0.299 0.866
H2 0.060 0.675 0.641
H3 0.081 0.615 0.440
H4 0.173 0.634 0.933
H5 0.201 0.239 0.567
H6 0.239 0.567 0.201
H7 0.261 0.462 0.327
H8 0.299 0.866 0.038
H9 0.327 0.261 0.462
H10 0.419 0.859 0.534
H11 0.440 0.081 0.615
H12 0.462 0.327 0.261
H13 0.534 0.419 0.859
H14 0.567 0.201 0.239
H15 0.615 0.440 0.081
H16 0.634 0.933 0.173
H17 0.641 0.060 0.675
H18 0.675 0.641 0.060
H19 0.825 0.885 0.966
H20 0.859 0.534 0.419
H21 0.866 0.038 0.299
H22 0.885 0.966 0.825
H23 0.933 0.173 0.634
H24 0.966 0.825 0.885
N1 0.000 0.651 0.500
N2 0.170 0.750 0.920
N3 0.250 0.580 0.330
N4 0.330 0.250 0.580
N5 0.500 0.000 0.651
N6 0.580 0.330 0.250
N7 0.651 0.500 0.000
N8 0.750 0.920 0.170
N9 0.849 0.849 0.849
N10 0.920 0.170 0.750


Density functional theory data (PBEsol) for crystalline TlAsRh2 at its relaxed geometry.

Computed properties:
Energy in eV per cell: -23.938
Formation enthalpy at 0 K in eV/atom: 0.019
Crystal system: tetragonal
Symmetry: P4mm (99)

Cell: 3.012 3.012 7.655 Å, 90.00 90.00 90.00°
Fractional positions:
Tl1 0.000 0.000 0.000
As1 0.500 0.500 0.358
Rh1 0.000 0.000 0.528
Rh2 0.500 0.500 0.759


Density functional theory data (PBEsol) for crystalline CaBe2Cd at its relaxed geometry.

Computed properties:
Energy in eV per cell: -10.456
Formation enthalpy at 0 K in eV/atom: 0.219
Crystal system: orthorhombic
Symmetry: Amm2 (38)

Cell: 3.855 5.410 5.410 Å, 38.78 90.00 90.00°
Fractional positions:
Ca1 0.000 0.000 0.000
Be1 0.000 0.284 0.284
Be2 0.500 0.376 0.376
Cd1 0.500 0.704 0.704


Density functional theory data (PBEsol) for crystalline CoAg2Mo at its relaxed geometry.

Computed properties:
Energy in eV per cell: -23.652
Formation enthalpy at 0 K in eV/atom: 0.619
Crystal system: cubic
Symmetry: F-43m (216)

Cell: 4.353 4.353 4.353 Å, 60.00 60.00 60.00°
Fractional positions:
Co1 0.000 0.000 0.000
Ag1 0.250 0.250 0.250
Ag2 0.500 0.500 0.500
Mo1 0.750 0.750 0.750


Which value of energy does entry 3 give? -24.199 eV per cell


Copy entry 5 word for word.
Density functional theory data (PBEsol) for crystalline Rb3H12N5 at its relaxed geometry.

Computed properties:
Energy in eV per cell: -186.622
Crystal system: cubic
Symmetry: I2_13 (199)

Cell: 8.489 8.489 8.489 Å, 109.47 109.47 109.47°
Fractional positions:
Rb1 0.076 0.826 0.250
Rb2 0.250 0.076 0.826
Rb3 0.424 0.674 0.750
Rb4 0.674 0.750 0.424
Rb5 0.750 0.424 0.674
Rb6 0.826 0.250 0.076
H1 0.038 0.299 0.866
H2 0.060 0.675 0.641
H3 0.081 0.615 0.440
H4 0.173 0.634 0.933
H5 0.201 0.239 0.567
H6 0.239 0.567 0.201
H7 0.261 0.462 0.327
H8 0.299 0.866 0.038
H9 0.327 0.261 0.462
H10 0.419 0.859 0.534
H11 0.440 0.081 0.615
H12 0.462 0.327 0.261
H13 0.534 0.419 0.859
H14 0.567 0.201 0.239
H15 0.615 0.440 0.081
H16 0.634 0.933 0.173
H17 0.641 0.060 0.675
H18 0.675 0.641 0.060
H19 0.825 0.885 0.966
H20 0.859 0.534 0.419
H21 0.866 0.038 0.299
H22 0.885 0.966 0.825
H23 0.933 0.173 0.634
H24 0.966 0.825 0.885
N1 0.000 0.651 0.500
N2 0.170 0.750 0.920
N3 0.250 0.580 0.330
N4 0.330 0.250 0.580
N5 0.500 0.000 0.651
N6 0.580 0.330 0.250
N7 0.651 0.500 0.000
N8 0.750 0.920 0.170
N9 0.849 0.849 0.849
N10 0.920 0.170 0.750